NbCo3 | PBE | relaxed

Cell: 3.643 3.644 3.644 Å, 90.00 90.00 90.00°
Fractional coordinates of all 4 atoms:
Co 0.000 0.000 0.083
Co 0.500 0.500 0.083
Co 0.000 0.500 0.583
Nb 0.500 0.000 0.583

Energy of formation from the pure elements (eV per atom): -0.15
Total energy (eV per atom): -7.995
Crystal system: cubic

NbCo6 | PBE | relaxed

Cell: 4.626 7.599 9.573 Å, 90.00 90.00 90.00°
Last column: magnetic moment on the atom in μB.
Fractional coordinates of all 28 atoms:
Co 0.250 0.638 0.349  1.68
Co 0.510 0.569 0.806  1.43
Co 0.750 0.862 0.849  1.68
Co 0.250 0.138 0.151  1.68
Co 0.750 0.686 0.257  1.51
Co 0.990 0.569 0.806  1.43
Co 0.750 0.447 0.420  1.17
Co 0.250 0.314 0.743  1.51
Co 0.750 0.362 0.651  1.68
Co 0.750 0.098 0.479  1.06
Co 0.490 0.431 0.194  1.43
Co 0.250 0.814 0.757  1.51
Co 0.010 0.431 0.194  1.43
Co 0.750 0.947 0.080  1.17
Co 0.510 0.069 0.694  1.43
Co 0.250 0.053 0.920  1.17
Co 0.010 0.931 0.306  1.43
Co 0.750 0.598 0.021  1.06
Co 0.490 0.931 0.306  1.43
Co 0.250 0.902 0.521  1.06
Co 0.250 0.402 0.979  1.06
Co 0.990 0.069 0.694  1.43
Co 0.250 0.553 0.580  1.17
Co 0.750 0.186 0.243  1.51
Nb 0.250 0.754 0.061  -0.46
Nb 0.750 0.246 0.939  -0.46
Nb 0.250 0.254 0.439  -0.46
Nb 0.750 0.746 0.561  -0.46

ΔE to the lowest computed polymorph (meV/atom): 0
Energy of formation from the pure elements (eV per atom): 0.01
Total energy (eV per atom): -7.523
Crystal system: orthorhombic